Material: CeZrMoO6
Method: DFT, GGA+U
State: relaxed

## Properties
Raw total energy = -8.4544 eV/atom

Lattice parameters (Å, degrees): 4.957 4.957 10.107 90.00 90.00 90.00
Fractional positions:
1 Ce 0.000 0.000 0.000
2 Ce 0.500 0.500 0.500
3 Zr 0.000 0.000 0.336
4 Zr 0.500 0.500 0.836
5 Mo 0.000 0.000 0.670
6 Mo 0.500 0.500 0.170
7 O 0.184 0.184 0.505
8 O 0.199 0.199 0.823
9 O 0.207 0.207 0.179
10 O 0.293 0.707 0.679
11 O 0.301 0.699 0.323
12 O 0.316 0.684 0.005
13 O 0.684 0.316 0.005
14 O 0.699 0.301 0.323
15 O 0.707 0.293 0.679
16 O 0.793 0.793 0.179
17 O 0.801 0.801 0.823
18 O 0.816 0.816 0.505